4
Lattice="5.343 0.000 0.000 0.000 3.897 0.000 -2.470 0.000 6.069" Properties=species:S:1:pos:R:3 comment="Ca2CdPb (PBE-GGA, relaxed)" e_above_lowest_polymorph_ev_per_fu=0.87 delta_e_f_ev_per_atom=-0.29 pbc="T T T"
Ca 0.000 0.000 0.000
Ca -1.235 1.949 3.035
Cd 1.437 0.000 3.035
Pb 2.672 1.949 0.000